No. 1
## NbI2Br (PBE)

Data for a relaxed structure of NbI2Br.

a b c (Å): 3.533 7.130 7.394
angles (deg): 112.18 102.55 103.26
Atoms (fractional coordinates):
Nb 0.000 0.000 0.000
I 0.226 0.694 0.708
I 0.620 0.971 0.294
Br 0.633 0.289 0.998

The energy relative to the lowest polymorph listed for this composition is 0.000 eV per atom. For the density of states at the Fermi level, the calculation gives 0.61 states/eV per atom. The uncorrected formation energy is -0.42 eV per atom. The value obtained for the volume is 158.0 Å³ per cell. As for the magnetic moment: 1.18 μB/f.u.

No. 2
## Na2Li4Se (PBE)

Data for a relaxed structure of Na2Li4Se.

a b c (Å): 9.500 9.500 9.500
angles (deg): 150.59 150.59 42.08
Atoms (fractional coordinates):
Na 0.180 0.180 0.000
Na 0.820 0.820 0.000
Li 0.000 0.500 0.500
Li 0.362 0.362 0.000
Li 0.500 0.000 0.500
Li 0.638 0.638 0.000
Se 0.500 0.500 0.000

For the density of states at the Fermi level, the calculation gives 0.34 states/eV per atom. The uncorrected formation energy is -0.33 eV per atom. The value obtained for the volume is 206.3 Å³ per cell. As for the magnetic moment: 0.00 μB/f.u.

No. 3
## Sr2CaCu2Bi2O8 (PBE)

Data for a relaxed structure of Sr2CaCu2Bi2O8.

a b c (Å): 16.261 16.261 5.418
angles (deg): 90.00 90.00 160.57
Atoms (fractional coordinates):
Sr 0.099 0.391 0.000
Sr 0.391 0.099 0.500
Sr 0.609 0.901 0.500
Sr 0.901 0.609 0.000
Ca 0.000 0.500 0.000
Ca 0.500 0.000 0.500
Cu 0.049 0.453 0.500
Cu 0.453 0.049 0.000
Cu 0.547 0.951 0.000
Cu 0.951 0.547 0.500
Bi 0.218 0.326 0.467
Bi 0.326 0.218 0.967
Bi 0.674 0.782 0.967
Bi 0.782 0.674 0.467
O 0.107 0.340 0.504
O 0.200 0.799 0.249
O 0.201 0.800 0.749
O 0.290 0.402 0.071
O 0.301 0.699 0.250
O 0.301 0.699 0.750
O 0.340 0.107 0.004
O 0.402 0.290 0.571
O 0.598 0.710 0.571
O 0.660 0.893 0.004
O 0.699 0.301 0.250
O 0.699 0.301 0.750
O 0.710 0.598 0.071
O 0.799 0.200 0.749
O 0.800 0.201 0.249
O 0.893 0.660 0.504

The energy relative to the lowest polymorph listed for this composition is 0.000 eV per atom. For the density of states at the Fermi level, the calculation gives 0.09 states/eV per atom. The uncorrected formation energy is -1.71 eV per atom. The value obtained for the volume is 476.5 Å³ per cell. As for the magnetic moment: 0.00 μB/f.u.

No. 4
## Cs2SnI5Br (PBE)

Data for a relaxed structure of Cs2SnI5Br.

a b c (Å): 8.438 8.438 8.438
angles (deg): 120.36 120.36 89.37
Atoms (fractional coordinates):
Cs 0.000 0.500 0.500
Cs 0.500 0.000 0.500
Sn 0.251 0.251 0.000
I 0.007 0.007 0.511
I 0.007 0.496 0.000
I 0.009 0.009 0.000
I 0.496 0.007 0.000
I 0.496 0.496 0.489
Br 0.475 0.475 0.000

The uncorrected formation energy is -0.96 eV per atom. The value obtained for the volume is 422.4 Å³ per cell. As for the magnetic moment: 0.00 μB/f.u.

No. 5
## Zr2IrW (PBE)

Data for a relaxed structure of Zr2IrW.

a b c (Å): 3.361 4.456 4.861
angles (deg): 90.00 90.00 90.00
Atoms (fractional coordinates):
Zr 0.000 0.000 0.000
Zr 0.500 0.000 0.500
Ir 0.000 0.500 0.500
W 0.500 0.500 0.000

For the density of states at the Fermi level, the calculation gives 0.83 states/eV per atom. The value obtained for the volume is 72.8 Å³ per cell. The calculation puts the formation energy at -3.16 kcal/mol of atoms. As for the magnetic moment: 0.00 μB/f.u.

No. 6
## KBC (PBE)

Data for a relaxed structure of KBC.

a b c (Å): 8.092 8.092 8.092
angles (deg): 159.21 48.78 136.39
Atoms (fractional coordinates):
K 0.000 0.000 0.000
K 0.280 0.583 0.697
K 0.885 0.583 0.303
B 0.467 0.060 0.407
B 0.504 0.504 0.000
B 0.653 0.060 0.593
C 0.390 0.890 0.500
C 0.528 0.643 0.885
C 0.759 0.643 0.115

For the density of states at the Fermi level, the calculation gives 0.00 states/eV per atom. The value obtained for the volume is 129.4 Å³ per cell. The calculation puts the formation energy at 11.70 kcal/mol of atoms. As for the magnetic moment: 0.00 μB/f.u.

No. 7
## MnCdSn3 (PBE)

Data for a relaxed structure of MnCdSn3.

a b c (Å): 5.002 5.002 5.002
angles (deg): 90.00 90.00 90.00
Atoms (fractional coordinates):
Mn 0.000 0.000 0.000
Cd 0.500 0.500 0.500
Sn 0.000 0.000 0.500
Sn 0.000 0.500 0.000
Sn 0.500 0.000 0.000

The energy relative to the lowest polymorph listed for this composition is 0.000 eV per atom. For the density of states at the Fermi level, the calculation gives 0.46 states/eV per atom. The value obtained for the volume is 125.2 Å³ per cell. The calculation puts the formation energy at 4.01 kcal/mol of atoms. As for the magnetic moment: 1.00 μB/f.u.

No. 8
## Rb2Pa2PdS6 (PBE)

Data for a relaxed structure of Rb2Pa2PdS6.

a b c (Å): 7.226 7.226 8.041
angles (deg): 95.82 95.82 126.18
Atoms (fractional coordinates):
Rb 0.143 0.857 0.000
Rb 0.857 0.143 0.000
Pa 0.341 0.659 0.500
Pa 0.659 0.341 0.500
Pd 0.000 0.000 0.500
S 0.042 0.443 0.698
S 0.269 0.269 0.336
S 0.443 0.042 0.698
S 0.557 0.958 0.302
S 0.731 0.731 0.664
S 0.958 0.557 0.302

The uncorrected formation energy is -1.36 eV per atom. The value obtained for the volume is 330.3 Å³ per cell. As for the magnetic moment: 0.00 μB/f.u.

No. 9
## Er2ScZn5 (PBE)

Data for a relaxed structure of Er2ScZn5.

a b c (Å): 7.666 7.666 7.666
angles (deg): 144.32 144.32 51.35
Atoms (fractional coordinates):
Er 0.236 0.236 0.000
Er 0.764 0.764 0.000
Sc 0.500 0.500 0.000
Zn 0.000 0.000 0.000
Zn 0.110 0.610 0.500
Zn 0.390 0.890 0.500
Zn 0.610 0.110 0.500
Zn 0.890 0.390 0.500

For the density of states at the Fermi level, the calculation gives 0.34 states/eV per atom. The value obtained for the volume is 152.5 Å³ per cell. The calculation puts the formation energy at -7.14 kcal/mol of atoms. As for the magnetic moment: 0.00 μB/f.u.

No. 10
## Ac2PrHg (PBE)

Data for a relaxed structure of Ac2PrHg.

a b c (Å): 5.876 5.876 5.876
angles (deg): 60.00 60.00 60.00
Atoms (fractional coordinates):
Ac 0.250 0.250 0.250
Ac 0.750 0.750 0.750
Pr 0.000 0.000 0.000
Hg 0.500 0.500 0.500

The energy relative to the lowest polymorph listed for this composition is 0.190 eV per atom. For the density of states at the Fermi level, the calculation gives 1.29 states/eV per atom. The value obtained for the volume is 143.4 Å³ per cell. The calculation puts the formation energy at -0.85 kcal/mol of atoms. As for the magnetic moment: 0.00 μB/f.u.

No. 11
## Hf3Sn (PBE)

Data for a relaxed structure of Hf3Sn.

a b c (Å): 5.619 5.619 5.619
angles (deg): 134.85 134.85 65.76
Atoms (fractional coordinates):
Hf 0.000 0.000 0.000
Hf 0.250 0.750 0.500
Hf 0.750 0.250 0.500
Sn 0.500 0.500 0.000

For the density of states at the Fermi level, the calculation gives 0.49 states/eV per atom. The value obtained for the volume is 87.8 Å³ per cell. The calculation puts the formation energy at -5.74 kcal/mol of atoms. As for the magnetic moment: 0.00 μB/f.u.

No. 12
## Ac6CuOs2 (PBE)

Data for a relaxed structure of Ac6CuOs2.

a b c (Å): 9.499 9.499 8.431
angles (deg): 98.55 98.55 26.99
Atoms (fractional coordinates):
Ac 0.009 0.009 0.255
Ac 0.330 0.330 0.434
Ac 0.332 0.332 0.904
Ac 0.668 0.668 0.096
Ac 0.670 0.670 0.566
Ac 0.991 0.991 0.745
Cu 0.500 0.500 0.000
Os 0.164 0.164 0.323
Os 0.836 0.836 0.677

For the density of states at the Fermi level, the calculation gives 0.87 states/eV per atom. The value obtained for the volume is 341.2 Å³ per cell. The calculation puts the formation energy at -0.75 kcal/mol of atoms. As for the magnetic moment: 0.00 μB/f.u.

No. 13
## BaSrAcNd (PBE)

Data for a relaxed structure of BaSrAcNd.

a b c (Å): 6.415 6.415 6.415
angles (deg): 60.00 60.00 60.00
Atoms (fractional coordinates):
Ba 0.000 0.000 0.000
Sr 0.250 0.250 0.250
Ac 0.750 0.750 0.750
Nd 0.500 0.500 0.500

For the density of states at the Fermi level, the calculation gives 1.30 states/eV per atom. The value obtained for the volume is 186.7 Å³ per cell. The calculation puts the formation energy at 4.05 kcal/mol of atoms. As for the magnetic moment: 0.00 μB/f.u.

No. 14
## BaAlGa2Ag (PBE)

Data for a relaxed structure of BaAlGa2Ag.

a b c (Å): 6.498 6.498 6.498
angles (deg): 138.99 138.99 59.39
Atoms (fractional coordinates):
Ba 0.000 0.000 0.000
Al 0.750 0.250 0.500
Ga 0.381 0.381 0.000
Ga 0.619 0.619 0.000
Ag 0.250 0.750 0.500

For the density of states at the Fermi level, the calculation gives 0.65 states/eV per atom. The value obtained for the volume is 117.0 Å³ per cell. The calculation puts the formation energy at -7.77 kcal/mol of atoms. As for the magnetic moment: 0.00 μB/f.u.

No. 15
## EuErTm2 (PBE)

Data for a relaxed structure of EuErTm2.

a b c (Å): 5.037 5.037 5.021
angles (deg): 90.00 90.00 90.00
Atoms (fractional coordinates):
Eu 0.000 0.000 0.000
Er 0.500 0.500 0.000
Tm 0.000 0.500 0.500
Tm 0.500 0.000 0.500

The energy relative to the lowest polymorph listed for this composition is 0.036 eV per atom. For the density of states at the Fermi level, the calculation gives 1.63 states/eV per atom. The value obtained for the volume is 127.4 Å³ per cell. The calculation puts the formation energy at 2.47 kcal/mol of atoms. As for the magnetic moment: 7.20 μB/f.u.

No. 16
## Pr6RuBr10 (PBE)

Data for a relaxed structure of Pr6RuBr10.

a b c (Å): 7.756 9.458 9.808
angles (deg): 108.33 96.61 105.89
Atoms (fractional coordinates):
Pr 0.034 0.217 0.414
Pr 0.136 0.556 0.252
Pr 0.370 0.646 0.688
Pr 0.630 0.354 0.312
Pr 0.864 0.444 0.748
Pr 0.966 0.783 0.586
Ru 0.000 0.500 0.500
Br 0.090 0.872 0.333
Br 0.208 0.249 0.156
Br 0.244 0.578 0.948
Br 0.343 0.958 0.774
Br 0.448 0.324 0.579
Br 0.552 0.676 0.421
Br 0.657 0.042 0.226
Br 0.756 0.422 0.052
Br 0.792 0.751 0.844
Br 0.910 0.128 0.667

For the density of states at the Fermi level, the calculation gives 0.19 states/eV per atom. The uncorrected formation energy is -1.58 eV per atom. The value obtained for the volume is 640.7 Å³ per cell. As for the magnetic moment: 0.00 μB/f.u.

No. 17
## LaSeCl2 (PBE)

Data for a relaxed structure of LaSeCl2.

a b c (Å): 6.436 6.436 6.436
angles (deg): 44.69 44.69 44.69
Atoms (fractional coordinates):
La 0.000 0.000 0.000
Se 0.831 0.831 0.831
Cl 0.379 0.379 0.379
Cl 0.615 0.615 0.615

The energy relative to the lowest polymorph listed for this composition is 0.139 eV per atom. For the density of states at the Fermi level, the calculation gives 1.12 states/eV per atom. The uncorrected formation energy is -1.54 eV per atom. The value obtained for the volume is 119.9 Å³ per cell. As for the magnetic moment: 1.00 μB/f.u.

No. 18
## SiW3 (PBE)

Data for a relaxed structure of SiW3.

a b c (Å): 5.493 5.493 9.398
angles (deg): 90.00 90.00 120.00
Atoms (fractional coordinates):
Si 0.000 0.000 0.000
Si 0.000 0.000 0.500
Si 0.333 0.667 0.250
Si 0.667 0.333 0.750
W 0.000 0.500 0.000
W 0.000 0.500 0.500
W 0.166 0.331 0.750
W 0.166 0.834 0.750
W 0.331 0.166 0.250
W 0.500 0.000 0.000
W 0.500 0.000 0.500
W 0.500 0.500 0.000
W 0.500 0.500 0.500
W 0.669 0.834 0.750
W 0.834 0.166 0.250
W 0.834 0.669 0.250

For the density of states at the Fermi level, the calculation gives 1.07 states/eV per atom. The uncorrected formation energy is 0.21 eV per atom. The value obtained for the volume is 245.6 Å³ per cell. As for the magnetic moment: 0.00 μB/f.u.

No. 19
## TaTc2F2 (PBE)

Data for a relaxed structure of TaTc2F2.

a b c (Å): 7.456 7.456 2.751
angles (deg): 90.00 90.00 90.00
Atoms (fractional coordinates):
Ta 0.000 0.000 0.000
Ta 0.500 0.500 0.000
Tc 0.250 0.250 0.000
Tc 0.250 0.750 0.000
Tc 0.750 0.250 0.000
Tc 0.750 0.750 0.000
F 0.105 0.395 0.500
F 0.395 0.895 0.500
F 0.605 0.105 0.500
F 0.895 0.605 0.500

The energy relative to the lowest polymorph listed for this composition is 0.849 eV per atom. For the density of states at the Fermi level, the calculation gives 0.93 states/eV per atom. The uncorrected formation energy is 0.18 eV per atom. The value obtained for the volume is 152.9 Å³ per cell. As for the magnetic moment: 0.00 μB/f.u.

No. 20
## Pu2Pd6Pt (PBE)

Data for a relaxed structure of Pu2Pd6Pt.

a b c (Å): 6.376 6.376 4.674
angles (deg): 111.31 111.31 80.62
Atoms (fractional coordinates):
Pu 0.179 0.179 0.177
Pu 0.821 0.821 0.823
Pd 0.032 0.650 0.342
Pd 0.321 0.679 0.000
Pd 0.350 0.968 0.658
Pd 0.650 0.032 0.342
Pd 0.679 0.321 0.000
Pd 0.968 0.350 0.658
Pt 0.500 0.500 0.500

The energy relative to the lowest polymorph listed for this composition is 0.117 eV per atom. For the density of states at the Fermi level, the calculation gives 2.34 states/eV per atom. The value obtained for the volume is 164.8 Å³ per cell. The calculation puts the formation energy at -7.78 kcal/mol of atoms. As for the magnetic moment: 9.90 μB/f.u.

No. 21
## K3SnCl2F6 (PBE)

Data for a relaxed structure of K3SnCl2F6.

a b c (Å): 7.758 7.758 5.922
angles (deg): 90.06 90.06 48.50
Atoms (fractional coordinates):
K 0.000 0.000 0.000
K 0.000 0.500 0.500
K 0.500 0.000 0.500
Sn 0.500 0.500 0.500
Cl 0.231 0.231 0.970
Cl 0.769 0.769 0.030
F 0.212 0.666 0.686
F 0.334 0.788 0.314
F 0.380 0.380 0.321
F 0.620 0.620 0.679
F 0.666 0.212 0.686
F 0.788 0.334 0.314

For the density of states at the Fermi level, the calculation gives 0.14 states/eV per atom. The uncorrected formation energy is -2.25 eV per atom. The value obtained for the volume is 267.0 Å³ per cell. As for the magnetic moment: 0.18 μB/f.u.

No. 22
## Pa2PPb (PBE)

Data for a relaxed structure of Pa2PPb.

a b c (Å): 9.286 9.286 9.286
angles (deg): 22.20 22.20 22.20
Atoms (fractional coordinates):
Pa 0.000 0.000 0.000
Pa 0.201 0.201 0.201
P 0.601 0.601 0.601
Pb 0.434 0.434 0.434

The energy relative to the lowest polymorph listed for this composition is 0.000 eV per atom. For the density of states at the Fermi level, the calculation gives 1.77 states/eV per atom. The value obtained for the volume is 100.3 Å³ per cell. The calculation puts the formation energy at -11.86 kcal/mol of atoms. As for the magnetic moment: 0.00 μB/f.u.

Total DFT energy (no corrections) values (in eV/atom) by entry order: -4.13, -2.30, -5.78, -2.64, -9.86, -5.16, -4.24, -5.98, -3.04, -3.36, -8.71, -5.72, -2.94, -3.25, -5.84, -4.80, -4.57, -10.86, -7.08, -7.66, -4.10, -7.54.